(1)
{"formula": "IrOs2Rh", "functional": "GGA-PBE", "state": "optimized geometry", "lattice_angstrom": [[4.747, 0.001, 0.000], [1.653, 4.450, 0.000], [-3.201, -2.225, 2.710]], "species": ["Rh", "Ir", "Os", "Os"], "fractional_positions": [[0.750, 0.250, 0.500], [0.250, 0.750, 0.500], [0.500, 0.500, 0.000], [0.000, 0.000, 0.000]], "magnetic_moment_mub_per_fu": 0.000, "ef_ev_per_atom": 0.086, "e_above_lowest_polymorph_kj_per_mol_fu": 15, "space_group": "I4/mmm, No. 139"}

***

(2)
{"formula": "Ir2OsRh", "functional": "GGA-PBE", "state": "optimized geometry", "lattice_angstrom": [[6.107, 0.000, -0.001], [-2.446, 4.049, 0.000], [1.215, 0.734, 2.325]], "species": ["Ir", "Ir", "Rh", "Os"], "fractional_positions": [[0.000, 0.000, 0.000], [0.500, 0.000, 0.500], [0.500, 0.500, 0.000], [0.000, 0.500, 0.500]], "magnetic_moment_mub_per_fu": 0.000, "ef_ev_per_atom": 0.025, "e_above_lowest_polymorph_kj_per_mol_fu": 13, "space_group": "Cmmm, No. 65"}

***

(3)
{"formula": "IrOsRh4", "functional": "GGA-PBE", "state": "optimized geometry", "lattice_angstrom": [[-4.749, -1.611, -0.164], [-3.716, 3.236, -0.948], [-2.435, -0.189, -4.383]], "species": ["Os", "Rh", "Rh", "Rh", "Rh", "Ir"], "fractional_positions": [[0.000, 0.000, 0.000], [0.375, 0.375, 0.375], [0.875, 0.375, 0.375], [0.375, 0.375, 0.875], [0.375, 0.875, 0.375], [0.750, 0.750, 0.750]], "magnetic_moment_mub_per_fu": 0.000, "ef_ev_per_atom": 0.612, "e_above_lowest_polymorph_kj_per_mol_fu": 235, "space_group": "F-43m, No. 216"}